[1]
Here is AcSn3Pd after structural relaxation from Alexandria via LeMat-Bulk. Energies are from PBE-GGA.

Lattice parameters (Å, degrees): 5.288 5.288 5.288 90.00 90.00 90.00
Space group Pm-3m (No. 221)
Unique sites:
Ac: 0.000 0.000 0.000
Sn: 0.000 0.500 0.500
Pd: 0.500 0.500 0.500

Energy relative to the lowest polymorph listed for this composition = 351 meV/atom
Energy relative to the elements = -6.64 kcal/mol of atoms
Magnetic moment = 0.00 μB/cell

---

[2]
Here is Ac2Sn3Pd after structural relaxation from Alexandria via LeMat-Bulk. Energies are from PBE-GGA.

Lattice parameters (Å, degrees): 4.565 4.866 8.146 90.00 90.00 90.00
Space group Pmm2 (No. 25)
Unique sites:
Ac: 0.000 0.000 0.000
Ac: 0.000 0.500 0.488
Sn: 0.500 0.000 0.635
Sn: 0.500 0.500 0.176
Sn: 0.500 0.500 0.825
Pd: 0.500 0.000 0.308

Energy relative to the lowest polymorph listed for this composition = 12 meV/atom
Energy relative to the elements = -16.93 kcal/mol of atoms
Magnetic moment = 0.00 μB/cell

---

[3]
Here is Ac6Sn2Pd after structural relaxation from Alexandria via LeMat-Bulk. Energies are from PBE-GGA.

Lattice parameters (Å, degrees): 7.065 9.020 12.894 90.00 122.59 90.00
Space group P2_1/c (No. 14)
Unique sites:
Ac: 0.073 0.179 0.444
Ac: 0.319 0.680 0.446
Ac: 0.365 0.030 0.240
Sn: 0.169 0.121 0.750
Pd: 0.500 0.000 0.500

Energy relative to the elements = -11.13 kcal/mol of atoms
Magnetic moment = 0.01 μB/cell

---

[4]
Here is AcSn3Pd after structural relaxation from Alexandria via LeMat-Bulk. Energies are from PBE-GGA.

Lattice parameters (Å, degrees): 4.670 25.219 4.659 90.00 90.00 90.00
Space group Cmmm (No. 65)
Unique sites:
Ac: 0.000 0.168 0.000
Sn: 0.000 0.057 0.500
Sn: 0.000 0.283 0.500
Sn: 0.000 0.443 0.000
Pd: 0.000 0.388 0.500

Energy relative to the lowest polymorph listed for this composition = 0 meV/atom
Energy relative to the elements = -14.73 kcal/mol of atoms
Magnetic moment = 0.00 μB/cell

---

[5]
Here is AcSn2Pd after structural relaxation from Alexandria via LeMat-Bulk. Energies are from PBE-GGA.

Lattice parameters (Å, degrees): 4.5957 4.5957 17.7434 90.00 90.00 120.00
Space group R-3m (No. 166, hexagonal axes)
Unique sites:
Ac: 0.0000 0.0000 0.0000
Sn: 0.0000 0.0000 0.2167
Pd: 0.0000 0.0000 0.5000

Energy relative to the lowest polymorph listed for this composition = 81 meV/atom
Energy relative to the elements = -16.24 kcal/mol of atoms
Magnetic moment = 0.00 μB/cell

---

[6]
Here is AcSn4Pd12 after structural relaxation from Alexandria via LeMat-Bulk. Energies are from PBE-GGA.

Lattice parameters (Å, degrees): 8.967 8.967 8.967 90.00 90.00 90.00
Space group Im-3 (No. 204)
Unique sites:
Ac: 0.000 0.000 0.000
Sn: 0.250 0.250 0.250
Pd: 0.000 0.353 0.151

Energy relative to the elements = -4.13 kcal/mol of atoms
Magnetic moment = 0.00 μB/cell

---

The Fermi-level density of states results, record by record, are as follows: 0.67; 0.43; 1.26; 0.42; 0.29; 0.25 states/eV per atom.